1.
# CuRuWC2 PBE-GGA relaxed
# DFT total energy   -6.916 eV/atom
# Space group   No. 123
# Energy of formation from the pure elements   2.039 eV per atom
# DOS at the Fermi energy   0.99 states/eV/atom
# Crystal system   tetragonal
data_CuRuWC2
_chemical_formula_sum 'Cu1 Ru1 W1 C2'
_space_group_name_H-M_alt 'P 1'
_space_group_IT_number 1
_cell_length_a 3.844
_cell_length_b 3.844
_cell_length_c 5.124
_cell_angle_alpha 90.00
_cell_angle_beta 90.00
_cell_angle_gamma 90.00
loop_
_space_group_symop_operation_xyz
'x,y,z'
loop_
_atom_site_label
_atom_site_fract_x
_atom_site_fract_y
_atom_site_fract_z
Cu1 0.000 0.000 0.000
Ru1 0.500 0.500 0.500
W1 0.500 0.500 0.000
C1 0.000 0.500 0.500
C2 0.500 0.000 0.500



2.
# Ti6MnRh12 PBE-GGA relaxed
# DFT total energy   -8.114 eV/atom
# Space group   No. 148
# Energy of formation from the pure elements   -0.495 eV per atom
# DOS at the Fermi energy   0.84 states/eV/atom
# Crystal system   trigonal
data_Ti6MnRh12
_chemical_formula_sum 'Ti6 Mn1 Rh12'
_space_group_name_H-M_alt 'P 1'
_space_group_IT_number 1
_cell_length_a 6.582
_cell_length_b 6.582
_cell_length_c 6.582
_cell_angle_alpha 90.34
_cell_angle_beta 90.34
_cell_angle_gamma 90.34
loop_
_space_group_symop_operation_xyz
'x,y,z'
loop_
_atom_site_label
_atom_site_fract_x
_atom_site_fract_y
_atom_site_fract_z
Ti1 0.201 0.381 0.771
Ti2 0.229 0.799 0.619
Ti3 0.381 0.771 0.201
Ti4 0.619 0.229 0.799
Ti5 0.771 0.201 0.381
Ti6 0.799 0.619 0.229
Mn1 0.500 0.500 0.500
Rh1 0.049 0.940 0.294
Rh2 0.060 0.706 0.951
Rh3 0.149 0.489 0.357
Rh4 0.294 0.049 0.940
Rh5 0.357 0.149 0.489
Rh6 0.489 0.357 0.149
Rh7 0.511 0.643 0.851
Rh8 0.643 0.851 0.511
Rh9 0.706 0.951 0.060
Rh10 0.851 0.511 0.643
Rh11 0.940 0.294 0.049
Rh12 0.951 0.060 0.706



3.
# CsScAgI6 PBE-GGA relaxed
# DFT total energy   -3.040 eV/atom
# Space group   No. 149
# DOS at the Fermi energy   1.46 states/eV/atom
# Crystal system   trigonal
data_CsScAgI6
_chemical_formula_sum 'Cs1 Sc1 Ag1 I6'
_space_group_name_H-M_alt 'P 1'
_space_group_IT_number 1
_cell_length_a 7.697
_cell_length_b 7.697
_cell_length_c 8.547
_cell_angle_alpha 90.00
_cell_angle_beta 90.00
_cell_angle_gamma 120.00
loop_
_space_group_symop_operation_xyz
'x,y,z'
loop_
_atom_site_label
_atom_site_fract_x
_atom_site_fract_y
_atom_site_fract_z
Cs1 0.000 0.000 0.000
Sc1 0.333 0.667 0.500
Ag1 0.667 0.333 0.500
I1 0.009 0.389 0.701
I2 0.009 0.620 0.299
I3 0.380 0.389 0.299
I4 0.380 0.991 0.701
I5 0.611 0.620 0.701
I6 0.611 0.991 0.299



4.
# K3Y2PtO6 PBE-GGA relaxed
# DFT total energy   -6.352 eV/atom
# Space group   No. 12
# Crystal system   monoclinic
data_K3Y2PtO6
_chemical_formula_sum 'K3 Y2 Pt1 O6'
_space_group_name_H-M_alt 'P 1'
_space_group_IT_number 1
_cell_length_a 5.934
_cell_length_b 5.934
_cell_length_c 6.497
_cell_angle_alpha 98.19
_cell_angle_beta 98.19
_cell_angle_gamma 120.68
loop_
_space_group_symop_operation_xyz
'x,y,z'
loop_
_atom_site_label
_atom_site_fract_x
_atom_site_fract_y
_atom_site_fract_z
K1 0.000 0.000 0.000
K2 0.341 0.659 0.000
K3 0.659 0.341 0.000
Y1 0.170 0.830 0.500
Y2 0.830 0.170 0.500
Pt1 0.500 0.500 0.500
O1 0.096 0.435 0.302
O2 0.245 0.245 0.675
O3 0.435 0.096 0.302
O4 0.565 0.904 0.698
O5 0.755 0.755 0.325
O6 0.904 0.565 0.698



5.
# AlCr2Mo PBE-GGA relaxed
# DFT total energy   -8.392 eV/atom
# Space group   No. 47
# Energy of formation from the pure elements   0.063 eV per atom
# DOS at the Fermi energy   0.85 states/eV/atom
# Crystal system   orthorhombic
data_AlCr2Mo
_chemical_formula_sum 'Al1 Cr2 Mo1'
_space_group_name_H-M_alt 'P 1'
_space_group_IT_number 1
_cell_length_a 3.112
_cell_length_b 4.173
_cell_length_c 4.262
_cell_angle_alpha 90.00
_cell_angle_beta 90.00
_cell_angle_gamma 90.00
loop_
_space_group_symop_operation_xyz
'x,y,z'
loop_
_atom_site_label
_atom_site_fract_x
_atom_site_fract_y
_atom_site_fract_z
Al1 0.000 0.000 0.000
Cr1 0.000 0.500 0.500
Cr2 0.500 0.500 0.000
Mo1 0.500 0.000 0.500



6.
# KScTe2 PBE-GGA relaxed
# DFT total energy   -4.096 eV/atom
# Space group   No. 12
# DOS at the Fermi energy   0.25 states/eV/atom
# Crystal system   monoclinic
data_KScTe2
_chemical_formula_sum 'K1 Sc1 Te2'
_space_group_name_H-M_alt 'P 1'
_space_group_IT_number 1
_cell_length_a 5.737
_cell_length_b 5.737
_cell_length_c 3.618
_cell_angle_alpha 97.48
_cell_angle_beta 97.48
_cell_angle_gamma 90.22
loop_
_space_group_symop_operation_xyz
'x,y,z'
loop_
_atom_site_label
_atom_site_fract_x
_atom_site_fract_y
_atom_site_fract_z
K1 0.000 0.000 0.000
Sc1 0.500 0.500 0.000
Te1 0.000 0.500 0.500
Te2 0.500 0.000 0.500



Question: Among the records above, which one has the lowest DFT total energy?
Answer: AlCr2Mo